1.
! Na2Ta4O11 (PBE, optimized geometry); values from VASP
! * electronic total energy: -302.1 eV per cell
! * magnetic moment: 0.01 μB/cell
&SYSTEM
  ibrav = 0, nat = 34, ntyp = 3
/
ATOMIC_SPECIES
Na 22.99 Na.upf
Ta 180.95 Ta.upf
O 16.00 O.upf
CELL_PARAMETERS angstrom
3.1023 1.7911 12.2134
-3.1023 1.7911 12.2134
0.0000 -3.5822 12.2134
ATOMIC_POSITIONS crystal
Na 0.1674 0.1674 0.1674
Na 0.3326 0.3326 0.3326
Na 0.6674 0.6674 0.6674
Na 0.8326 0.8326 0.8326
Ta 0.0000 0.0000 0.0000
Ta 0.1152 0.7500 0.3848
Ta 0.2500 0.6152 0.8848
Ta 0.3848 0.1152 0.7500
Ta 0.5000 0.5000 0.5000
Ta 0.6152 0.8848 0.2500
Ta 0.7500 0.3848 0.1152
Ta 0.8848 0.2500 0.6152
O 0.0000 0.5000 0.2500
O 0.0000 0.5000 0.7500
O 0.0578 0.7514 0.2817
O 0.0946 0.0946 0.0946
O 0.2183 0.7486 0.4422
O 0.2486 0.7183 0.9422
O 0.2500 0.0000 0.5000
O 0.2514 0.5578 0.7817
O 0.2817 0.0578 0.7514
O 0.4054 0.4054 0.4054
O 0.4422 0.2183 0.7486
O 0.5000 0.2500 0.0000
O 0.5000 0.7500 0.0000
O 0.5578 0.7817 0.2514
O 0.5946 0.5946 0.5946
O 0.7183 0.9422 0.2486
O 0.7486 0.4422 0.2183
O 0.7500 0.0000 0.5000
O 0.7514 0.2817 0.0578
O 0.7817 0.2514 0.5578
O 0.9054 0.9054 0.9054
O 0.9422 0.2486 0.7183

2.
! YIn2Pt2 (PBE, optimized geometry); values from VASP
! * electronic total energy: -26.5 eV per cell
! * magnetic moment: 0.00 μB/cell
&SYSTEM
  ibrav = 0, nat = 5, ntyp = 3
/
ATOMIC_SPECIES
Y 88.91 Y.upf
In 114.82 In.upf
Pt 195.08 Pt.upf
CELL_PARAMETERS angstrom
-2.1816 2.1816 5.7373
2.1816 -2.1816 5.7373
2.1816 2.1816 -5.7373
ATOMIC_POSITIONS crystal
Y 0.0000 0.0000 0.0000
In 0.3819 0.3819 0.0000
In 0.6181 0.6181 0.0000
Pt 0.2500 0.7500 0.5000
Pt 0.7500 0.2500 0.5000

3.
! TlIr17 (PBE, optimized geometry); values from VASP
! * E above lowest polymorph: 0.0098 eV per atom
! * magnetic moment: 0.00 μB/cell
&SYSTEM
  ibrav = 0, nat = 36, ntyp = 2
/
ATOMIC_SPECIES
Tl 204.38 Tl.upf
Ir 192.22 Ir.upf
CELL_PARAMETERS angstrom
5.4552 0.0000 0.0000
-2.7276 4.7244 0.0000
0.0000 0.0000 33.3600
ATOMIC_POSITIONS crystal
Tl 0.3333 0.6667 0.2967
Tl 0.6667 0.3333 0.7033
Ir 0.0000 0.0000 0.0000
Ir 0.0000 0.0000 0.2022
Ir 0.0000 0.0000 0.7978
Ir 0.0000 0.5000 0.0000
Ir 0.0028 0.5014 0.2013
Ir 0.1667 0.3334 0.1344
Ir 0.1670 0.3340 0.9328
Ir 0.1674 0.3349 0.7340
Ir 0.1667 0.8333 0.1344
Ir 0.1674 0.8326 0.7340
Ir 0.1670 0.8330 0.9328
Ir 0.3334 0.1667 0.8656
Ir 0.3333 0.6667 0.0671
Ir 0.3333 0.6667 0.8660
Ir 0.3340 0.1670 0.0672
Ir 0.3349 0.1674 0.2660
Ir 0.4986 0.5014 0.2013
Ir 0.4986 0.9972 0.2013
Ir 0.5000 0.0000 0.0000
Ir 0.5000 0.5000 0.0000
Ir 0.5014 0.0028 0.7987
Ir 0.5014 0.4986 0.7987
Ir 0.6651 0.8326 0.7340
Ir 0.6660 0.8330 0.9328
Ir 0.6667 0.3333 0.1340
Ir 0.6667 0.3333 0.9329
Ir 0.6666 0.8333 0.1344
Ir 0.8330 0.1670 0.0672
Ir 0.8326 0.1674 0.2660
Ir 0.8333 0.1667 0.8656
Ir 0.8326 0.6651 0.2660
Ir 0.8330 0.6660 0.0672
Ir 0.8333 0.6666 0.8656
Ir 0.9972 0.4986 0.7987

4.
! KMoS2 (PBE, optimized geometry); values from VASP
! * electronic total energy: -46.8 eV per cell
! * magnetic moment: 0.00 μB/cell
&SYSTEM
  ibrav = 0, nat = 8, ntyp = 3
/
ATOMIC_SPECIES
K 39.10 K.upf
Mo 95.94 Mo.upf
S 32.06 S.upf
CELL_PARAMETERS angstrom
3.5272 -5.6890 0.0000
3.5272 5.6890 0.0000
-2.4153 0.0000 5.2251
ATOMIC_POSITIONS crystal
K 0.1439 0.8561 0.7500
K 0.8561 0.1439 0.2500
Mo 0.4973 0.5027 0.2500
Mo 0.5027 0.4973 0.7500
S 0.1869 0.4100 0.8908
S 0.4100 0.1869 0.3908
S 0.5900 0.8131 0.6092
S 0.8131 0.5900 0.1092

5.
! SmSiBi (PBE, optimized geometry); values from VASP
! * E above lowest polymorph: 0.0000 eV per atom
! * magnetic moment: 0.00 μB/cell
&SYSTEM
  ibrav = 0, nat = 3, ntyp = 3
/
ATOMIC_SPECIES
Sm 150.36 Sm.upf
Si 28.09 Si.upf
Bi 208.98 Bi.upf
CELL_PARAMETERS angstrom
0.0000 3.5176 3.5176
3.5176 0.0000 3.5176
3.5176 3.5176 0.0000
ATOMIC_POSITIONS crystal
Sm 0.0000 0.0000 0.0000
Si 0.7500 0.7500 0.7500
Bi 0.5000 0.5000 0.5000

6.
! DyErSO2 (PBE, optimized geometry); values from VASP
! * electronic total energy: -39.3 eV per cell
! * magnetic moment: 0.00 μB/cell
&SYSTEM
  ibrav = 0, nat = 5, ntyp = 4
/
ATOMIC_SPECIES
Dy 162.50 Dy.upf
Er 167.26 Er.upf
S 32.06 S.upf
O 16.00 O.upf
CELL_PARAMETERS angstrom
3.7683 0.0000 0.0000
-1.8841 3.2634 0.0000
0.0000 0.0000 6.5481
ATOMIC_POSITIONS crystal
Dy 0.0000 0.0000 0.0000
Er 0.6667 0.3333 0.4352
S 0.3333 0.6667 0.7163
O 0.0000 0.0000 0.3495
O 0.6667 0.3333 0.0903

7.
! Rb2Tm3Se4 (PBE, optimized geometry); values from VASP
! * electronic total energy: -40.6 eV per cell
! * magnetic moment: 1.00 μB/cell
&SYSTEM
  ibrav = 0, nat = 9, ntyp = 3
/
ATOMIC_SPECIES
Rb 85.47 Rb.upf
Tm 168.93 Tm.upf
Se 78.96 Se.upf
CELL_PARAMETERS angstrom
0.0000 5.6276 7.7239
3.8212 0.0000 7.7239
3.8212 5.6276 0.0000
ATOMIC_POSITIONS crystal
Rb 0.1806 0.1806 0.8194
Rb 0.8194 0.8194 0.1806
Tm 0.0000 0.0000 0.5000
Tm 0.5000 0.5000 0.0000
Tm 0.5000 0.5000 0.5000
Se 0.1925 0.5603 0.4397
Se 0.4397 0.8075 0.1925
Se 0.5603 0.1925 0.8075
Se 0.8075 0.4397 0.5603

8.
! PrMgPO (PBE, optimized geometry); values from VASP
! * electronic total energy: -41.5 eV per cell
! * magnetic moment: 0.15 μB/cell
&SYSTEM
  ibrav = 0, nat = 8, ntyp = 4
/
ATOMIC_SPECIES
Pr 140.91 Pr.upf
Mg 24.30 Mg.upf
P 30.97 P.upf
O 16.00 O.upf
CELL_PARAMETERS angstrom
4.4521 0.0000 0.0000
0.0000 4.4521 0.0000
0.0000 0.0000 9.1895
ATOMIC_POSITIONS crystal
Pr 0.2500 0.7500 0.0000
Pr 0.7500 0.2500 0.0000
Mg 0.2500 0.2500 0.4903
Mg 0.7500 0.7500 0.5097
P 0.2500 0.2500 0.1832
P 0.7500 0.7500 0.8168
O 0.2500 0.7500 0.5000
O 0.7500 0.2500 0.5000

9.
! SmCd2Ag (PBE, optimized geometry); values from VASP
! * formation enthalpy at 0 K: -122 kJ/mol of formula units
! * magnetic moment: 0.00 μB/cell
&SYSTEM
  ibrav = 0, nat = 4, ntyp = 3
/
ATOMIC_SPECIES
Sm 150.36 Sm.upf
Cd 112.41 Cd.upf
Ag 107.87 Ag.upf
CELL_PARAMETERS angstrom
-2.5136 2.5136 3.6011
2.5136 -2.5136 3.6011
2.5136 2.5136 -3.6011
ATOMIC_POSITIONS crystal
Sm 0.0000 0.0000 0.0000
Cd 0.2500 0.7500 0.5000
Cd 0.5000 0.5000 0.0000
Ag 0.7500 0.2500 0.5000

10.
! RbCu3SnSe4 (PBE, optimized geometry); values from VASP
! * E above lowest polymorph: 0.2141 eV per atom
&SYSTEM
  ibrav = 0, nat = 9, ntyp = 4
/
ATOMIC_SPECIES
Rb 85.47 Rb.upf
Cu 63.55 Cu.upf
Sn 118.71 Sn.upf
Se 78.96 Se.upf
CELL_PARAMETERS angstrom
6.3721 0.0000 0.0000
0.0000 6.3721 0.0000
0.0000 0.0000 6.3721
ATOMIC_POSITIONS crystal
Rb 0.0000 0.0000 0.0000
Cu 0.0000 0.5000 0.5000
Cu 0.5000 0.0000 0.5000
Cu 0.5000 0.5000 0.0000
Sn 0.5000 0.5000 0.5000
Se 0.2748 0.2748 0.2748
Se 0.2748 0.7252 0.7252
Se 0.7252 0.2748 0.7252
Se 0.7252 0.7252 0.2748

11.
! SmY2In (PBE, optimized geometry); values from VASP
! * electronic total energy: -21.5 eV per cell
! * magnetic moment: 0.50 μB/cell
&SYSTEM
  ibrav = 0, nat = 4, ntyp = 3
/
ATOMIC_SPECIES
Sm 150.36 Sm.upf
Y 88.91 Y.upf
In 114.82 In.upf
CELL_PARAMETERS angstrom
4.8930 0.0000 0.0000
0.0000 4.8930 0.0000
0.0000 0.0000 4.8458
ATOMIC_POSITIONS crystal
Sm 0.0000 0.0000 0.0000
Y 0.0000 0.5000 0.5000
Y 0.5000 0.0000 0.5000
In 0.5000 0.5000 0.0000

12.
! Gd3ReO8 (PBE, optimized geometry); values from VASP
! * electronic total energy: -400.1 eV per cell
! * magnetic moment: 0.00 μB/cell
&SYSTEM
  ibrav = 0, nat = 48, ntyp = 3
/
ATOMIC_SPECIES
Gd 157.25 Gd.upf
Re 186.21 Re.upf
O 16.00 O.upf
CELL_PARAMETERS angstrom
7.2370 0.0000 0.0000
0.0000 6.0378 0.0000
-5.1749 0.0000 13.5226
ATOMIC_POSITIONS crystal
Gd 0.0955 0.2424 0.2019
Gd 0.0955 0.2576 0.7019
Gd 0.1621 0.2006 0.4459
Gd 0.1621 0.2994 0.9459
Gd 0.3949 0.6873 0.3338
Gd 0.3949 0.8127 0.8338
Gd 0.6051 0.1873 0.1662
Gd 0.6051 0.3127 0.6662
Gd 0.8379 0.7006 0.0541
Gd 0.8379 0.7994 0.5541
Gd 0.9045 0.7424 0.2981
Gd 0.9045 0.7576 0.7981
Re 0.3206 0.7466 0.0905
Re 0.3206 0.7534 0.5905
Re 0.6794 0.2466 0.4095
Re 0.6794 0.2534 0.9095
O 0.0863 0.6960 0.9794
O 0.0863 0.8040 0.4794
O 0.1458 0.0280 0.8419
O 0.1458 0.4720 0.3419
O 0.1667 0.6486 0.1703
O 0.1667 0.8514 0.6703
O 0.1887 0.5281 0.8270
O 0.1887 0.9719 0.3270
O 0.2478 0.0472 0.0963
O 0.2478 0.4528 0.5963
O 0.3805 0.0521 0.5889
O 0.3805 0.4479 0.0889
O 0.4659 0.2024 0.7866
O 0.4659 0.2976 0.2866
O 0.4794 0.6948 0.5197
O 0.4794 0.8052 0.0197
O 0.5206 0.1948 0.9803
O 0.5206 0.3052 0.4803
O 0.5341 0.7024 0.7134
O 0.5341 0.7976 0.2134
O 0.6195 0.5521 0.9111
O 0.6195 0.9479 0.4111
O 0.7522 0.5472 0.4037
O 0.7522 0.9528 0.9037
O 0.8113 0.0281 0.6730
O 0.8113 0.4719 0.1730
O 0.8333 0.1486 0.3297
O 0.8333 0.3514 0.8297
O 0.8542 0.5280 0.6581
O 0.8542 0.9720 0.1581
O 0.9137 0.1960 0.5206
O 0.9137 0.3040 0.0206